Model P:
! Nb2TePb, relaxed, DFT PBE-GGA; values from VASP
&SYSTEM
  ibrav = 0, nat = 4, ntyp = 3
/
ATOMIC_SPECIES
Pb 207.20 Pb.upf
Nb 92.91 Nb.upf
Te 127.60 Te.upf
CELL_PARAMETERS angstrom
0.239 -4.815 0.847
-4.110 -2.575 0.662
-1.484 -3.164 -3.427
ATOMIC_POSITIONS crystal
Pb 0.500 0.500 0.500
Nb 0.250 0.250 0.250
Nb 0.750 0.750 0.750
Te 0.000 0.000 0.000
! **SG**: Fm-3m
! **Size of the total moment**: 0.000 μB/cell

Model Q:
! Nb2TePb, relaxed, DFT PBE-GGA; values from VASP
&SYSTEM
  ibrav = 0, nat = 8, ntyp = 3
/
ATOMIC_SPECIES
Pb 207.20 Pb.upf
Nb 92.91 Nb.upf
Te 127.60 Te.upf
CELL_PARAMETERS angstrom
-3.035 -3.060 -0.412
0.449 0.135 -4.304
5.825 -8.591 -1.839
ATOMIC_POSITIONS crystal
Pb 0.000 0.000 0.000
Pb 0.750 0.250 0.500
Nb 0.602 0.125 0.250
Nb 0.148 0.625 0.250
Nb 0.375 0.398 0.750
Nb 0.875 0.852 0.750
Te 0.500 0.500 0.000
Te 0.250 0.750 0.500
! **SG**: I-42d
! **Size of the total moment**: 0.000 μB/cell

model P wins, 0.336 eV/atom ahead of the next structure.

Model P:
! Ti3NbPb, relaxed, DFT PBE-GGA; values from VASP
&SYSTEM
  ibrav = 0, nat = 20, ntyp = 3
/
ATOMIC_SPECIES
Ti 47.87 Ti.upf
Nb 92.91 Nb.upf
Pb 207.20 Pb.upf
CELL_PARAMETERS angstrom
-4.846 2.168 -4.248
0.708 -6.330 -4.037
-5.194 -3.675 4.049
ATOMIC_POSITIONS crystal
Ti 0.615 0.843 0.956
Ti 0.885 0.044 0.157
Ti 0.385 0.157 0.044
Ti 0.115 0.956 0.843
Ti 0.679 0.410 0.090
Ti 0.821 0.910 0.590
Ti 0.321 0.590 0.910
Ti 0.179 0.090 0.410
Ti 0.615 0.544 0.657
Ti 0.885 0.343 0.456
Ti 0.385 0.456 0.343
Ti 0.115 0.657 0.544
Nb 0.925 0.632 0.868
Nb 0.575 0.132 0.368
Nb 0.075 0.368 0.132
Nb 0.425 0.868 0.632
Pb 0.250 0.803 0.197
Pb 0.750 0.197 0.803
Pb 0.250 0.303 0.697
Pb 0.750 0.697 0.303
! **SG**: Cmce
! **Size of the total moment**: 0.012 μB/cell

Model Q:
! Ti3NbPb, relaxed, DFT PBE-GGA; values from VASP
&SYSTEM
  ibrav = 0, nat = 5, ntyp = 3
/
ATOMIC_SPECIES
Pb 207.20 Pb.upf
Nb 92.91 Nb.upf
Ti 47.87 Ti.upf
CELL_PARAMETERS angstrom
4.843 0.000 0.000
0.000 4.843 0.000
0.000 0.000 4.843
ATOMIC_POSITIONS crystal
Pb 0.500 0.500 0.500
Nb 0.000 0.000 0.000
Ti 0.000 0.500 0.000
Ti 0.000 0.000 0.500
Ti 0.500 0.000 0.000
! **SG**: Pm-3m
! **Size of the total moment**: 1.251 μB/cell

model P wins, 0.631 eV/atom ahead of the next structure.

Model P:
! Ti4NbPb, relaxed, DFT PBE-GGA; values from VASP
&SYSTEM
  ibrav = 0, nat = 6, ntyp = 3
/
ATOMIC_SPECIES
Ti 47.87 Ti.upf
Nb 92.91 Nb.upf
Pb 207.20 Pb.upf
CELL_PARAMETERS angstrom
-4.071 1.845 -0.892
-2.769 -1.962 -3.061
-5.243 -4.042 3.922
ATOMIC_POSITIONS crystal
Ti 0.634 0.634 0.097
Ti 0.366 0.366 0.903
Ti 0.115 0.113 0.658
Ti 0.885 0.887 0.342
Nb 0.000 0.000 0.000
Pb 0.500 0.500 0.500
! **SG**: C2/m
! **Size of the total moment**: 0.015 μB/cell

Model Q:
! Ti4NbPb, relaxed, DFT PBE-GGA; values from VASP
&SYSTEM
  ibrav = 0, nat = 6, ntyp = 3
/
ATOMIC_SPECIES
Ti 47.87 Ti.upf
Nb 92.91 Nb.upf
Pb 207.20 Pb.upf
CELL_PARAMETERS angstrom
2.937 -0.704 0.000
-1.858 9.069 0.123
-0.016 -0.063 4.441
ATOMIC_POSITIONS crystal
Ti 0.334 0.691 0.000
Ti 0.666 0.309 0.000
Ti 0.905 0.150 0.500
Ti 0.095 0.850 0.500
Nb 0.000 0.000 0.000
Pb 0.500 0.500 0.500
! **SG**: P2/m
! **Size of the total moment**: 0.001 μB/cell

model Q wins, 0.468 eV/atom ahead of the next structure.

Model P:
! Ti2Nb2Pb, relaxed, DFT PBE-GGA; values from VASP
&SYSTEM
  ibrav = 0, nat = 10, ntyp = 3
/
ATOMIC_SPECIES
Pb 207.20 Pb.upf
Nb 92.91 Nb.upf
Ti 47.87 Ti.upf
CELL_PARAMETERS angstrom
7.277 0.000 0.000
0.000 7.277 0.000
0.000 0.000 3.594
ATOMIC_POSITIONS crystal
Pb 0.000 0.000 0.000
Pb 0.500 0.500 0.000
Nb 0.175 0.675 0.500
Nb 0.675 0.825 0.500
Nb 0.825 0.325 0.500
Nb 0.325 0.175 0.500
Ti 0.374 0.874 0.000
Ti 0.874 0.626 0.000
Ti 0.626 0.126 0.000
Ti 0.126 0.374 0.000
! **SG**: P4/mbm
! **Size of the total moment**: 0.000 μB/cell

Model Q:
! Ti2Nb2Pb, relaxed, DFT PBE-GGA; values from VASP
&SYSTEM
  ibrav = 0, nat = 5, ntyp = 3
/
ATOMIC_SPECIES
Ti 47.87 Ti.upf
Nb 92.91 Nb.upf
Pb 207.20 Pb.upf
CELL_PARAMETERS angstrom
2.985 0.000 0.000
0.000 4.175 0.791
0.000 0.657 7.947
ATOMIC_POSITIONS crystal
Ti 0.500 0.388 0.225
Ti 0.500 0.612 0.775
Nb 0.000 0.200 0.601
Nb 0.000 0.800 0.399
Pb 0.000 0.000 0.000
! **SG**: Cmmm
! **Size of the total moment**: 0.000 μB/cell

model Q wins, 0.011 eV/atom ahead of the next structure.

Model P:
! Ti2Nb2Pb, relaxed, DFT PBE-GGA; values from VASP
&SYSTEM
  ibrav = 0, nat = 5, ntyp = 3
/
ATOMIC_SPECIES
Pb 207.20 Pb.upf
Nb 92.91 Nb.upf
Ti 47.87 Ti.upf
CELL_PARAMETERS angstrom
-1.395 -1.265 3.431
2.181 -3.235 -0.306
5.413 0.833 4.741
ATOMIC_POSITIONS crystal
Pb 0.000 0.000 0.000
Nb 0.401 0.401 0.198
Nb 0.599 0.599 0.802
Ti 0.750 0.250 0.500
Ti 0.250 0.750 0.500
! **SG**: I4/mmm
! **Size of the total moment**: 0.000 μB/cell

Model Q:
! Ti2Nb2Pb, relaxed, DFT PBE-GGA; values from VASP
&SYSTEM
  ibrav = 0, nat = 10, ntyp = 3
/
ATOMIC_SPECIES
Pb 207.20 Pb.upf
Nb 92.91 Nb.upf
Ti 47.87 Ti.upf
CELL_PARAMETERS angstrom
7.574 0.000 0.000
0.000 7.574 0.000
0.000 0.000 3.442
ATOMIC_POSITIONS crystal
Pb 0.000 0.000 0.000
Pb 0.500 0.500 0.000
Nb 0.385 0.885 0.000
Nb 0.885 0.615 0.000
Nb 0.615 0.115 0.000
Nb 0.115 0.385 0.000
Ti 0.186 0.686 0.500
Ti 0.686 0.814 0.500
Ti 0.814 0.314 0.500
Ti 0.314 0.186 0.500
! **SG**: P4/mbm
! **Size of the total moment**: 0.000 μB/cell

model Q wins, 0.360 eV/atom ahead of the next structure.

Model P:
! Ti5NbPb2, relaxed, DFT PBE-GGA; values from VASP
&SYSTEM
  ibrav = 0, nat = 8, ntyp = 3
/
ATOMIC_SPECIES
Ti 47.87 Ti.upf
Nb 92.91 Nb.upf
Pb 207.20 Pb.upf
CELL_PARAMETERS angstrom
-4.636 1.045 -1.237
0.185 -3.385 -3.554
0.172 -3.170 6.422
ATOMIC_POSITIONS crystal
Ti 0.500 0.500 0.000
Ti 0.613 0.113 0.227
Ti 0.113 0.613 0.227
Ti 0.387 0.887 0.773
Ti 0.887 0.387 0.773
Nb 0.000 0.000 0.000
Pb 0.251 0.251 0.502
Pb 0.749 0.749 0.498
! **SG**: I4/mmm
! **Size of the total moment**: 0.002 μB/cell

Model Q:
! Ti5NbPb2, relaxed, DFT PBE-GGA; values from VASP
&SYSTEM
  ibrav = 0, nat = 8, ntyp = 3
/
ATOMIC_SPECIES
Ti 47.87 Ti.upf
Nb 92.91 Nb.upf
Pb 207.20 Pb.upf
CELL_PARAMETERS angstrom
5.815 0.241 0.343
-2.653 5.180 -0.343
-2.653 -2.085 4.755
ATOMIC_POSITIONS crystal
Ti 0.500 0.778 0.778
Ti 0.000 0.778 0.278
Ti 0.000 0.278 0.778
Ti 0.500 0.278 0.278
Ti 0.000 0.278 0.278
Nb 0.000 0.778 0.778
Pb 0.500 0.278 0.778
Pb 0.500 0.778 0.278
! **SG**: I4/mmm
! **Size of the total moment**: 1.477 μB/cell

model P wins, 0.032 eV/atom ahead of the next structure.

Model P:
! NbTl2Pb, relaxed, DFT PBE-GGA; values from VASP
&SYSTEM
  ibrav = 0, nat = 4, ntyp = 3
/
ATOMIC_SPECIES
Pb 207.20 Pb.upf
Tl 204.38 Tl.upf
Nb 92.91 Nb.upf
CELL_PARAMETERS angstrom
-0.543 1.478 2.838
-1.126 -1.699 2.526
10.590 -2.449 5.157
ATOMIC_POSITIONS crystal
Pb 0.500 0.500 0.500
Tl 0.081 0.081 0.756
Tl 0.919 0.919 0.244
Nb 0.000 0.000 0.000
! **SG**: R-3m
! **Size of the total moment**: 0.001 μB/cell

Model Q:
! NbTl2Pb, relaxed, DFT PBE-GGA; values from VASP
&SYSTEM
  ibrav = 0, nat = 8, ntyp = 3
/
ATOMIC_SPECIES
Pb 207.20 Pb.upf
Tl 204.38 Tl.upf
Nb 92.91 Nb.upf
CELL_PARAMETERS angstrom
-0.828 0.655 -8.556
8.223 -2.397 -0.979
2.851 -3.719 -4.904
ATOMIC_POSITIONS crystal
Pb 0.000 0.000 0.000
Pb 0.750 0.250 0.500
Tl 0.578 0.125 0.250
Tl 0.172 0.625 0.250
Tl 0.375 0.422 0.750
Tl 0.875 0.828 0.750
Nb 0.500 0.500 0.000
Nb 0.250 0.750 0.500
! **SG**: I-42d
! **Size of the total moment**: 0.000 μB/cell

model P wins, 0.083 eV/atom ahead of the next structure.

Model P:
! Nb2VPb2, relaxed, DFT PBE-GGA; values from VASP
&SYSTEM
  ibrav = 0, nat = 5, ntyp = 3
/
ATOMIC_SPECIES
Pb 207.20 Pb.upf
Nb 92.91 Nb.upf
V 50.94 V.upf
CELL_PARAMETERS angstrom
-0.435 0.962 4.069
2.707 -3.053 1.011
6.272 3.348 2.050
ATOMIC_POSITIONS crystal
Pb 0.750 0.250 0.500
Pb 0.250 0.750 0.500
Nb 0.414 0.414 0.172
Nb 0.586 0.586 0.828
V 0.000 0.000 0.000
! **SG**: I4/mmm
! **Size of the total moment**: 2.258 μB/cell

Model Q:
! Nb2VPb2, relaxed, DFT PBE-GGA; values from VASP
&SYSTEM
  ibrav = 0, nat = 10, ntyp = 3
/
ATOMIC_SPECIES
Pb 207.20 Pb.upf
Nb 92.91 Nb.upf
V 50.94 V.upf
CELL_PARAMETERS angstrom
6.719 0.000 0.000
0.000 6.719 0.000
0.000 0.000 4.754
ATOMIC_POSITIONS crystal
Pb 0.173 0.673 0.500
Pb 0.673 0.827 0.500
Pb 0.827 0.327 0.500
Pb 0.327 0.173 0.500
Nb 0.350 0.850 0.000
Nb 0.850 0.650 0.000
Nb 0.650 0.150 0.000
Nb 0.150 0.350 0.000
V 0.000 0.000 0.000
V 0.500 0.500 0.000
! **SG**: P4/mbm
! **Size of the total moment**: 0.001 μB/cell

model Q wins, 0.418 eV/atom ahead of the next structure.

Model P:
! NbVPb2, relaxed, DFT PBE-GGA; values from VASP
&SYSTEM
  ibrav = 0, nat = 8, ntyp = 3
/
ATOMIC_SPECIES
Pb 207.20 Pb.upf
Nb 92.91 Nb.upf
V 50.94 V.upf
CELL_PARAMETERS angstrom
7.749 0.000 0.000
0.000 7.749 0.000
3.874 3.874 3.059
ATOMIC_POSITIONS crystal
Pb 0.613 0.125 0.250
Pb 0.137 0.625 0.250
Pb 0.375 0.387 0.750
Pb 0.875 0.863 0.750
Nb 0.000 0.000 0.000
Nb 0.750 0.250 0.500
V 0.500 0.500 0.000
V 0.250 0.750 0.500
! **SG**: I-42d
! **Size of the total moment**: 3.828 μB/cell

Model Q:
! NbVPb2, relaxed, DFT PBE-GGA; values from VASP
&SYSTEM
  ibrav = 0, nat = 4, ntyp = 3
/
ATOMIC_SPECIES
Pb 207.20 Pb.upf
Nb 92.91 Nb.upf
V 50.94 V.upf
CELL_PARAMETERS angstrom
0.000 3.490 3.490
3.490 0.000 3.490
3.490 3.490 0.000
ATOMIC_POSITIONS crystal
Pb 0.250 0.250 0.250
Pb 0.750 0.750 0.750
Nb 0.500 0.500 0.500
V 0.000 0.000 0.000
! **SG**: Fm-3m
! **Size of the total moment**: 0.602 μB/cell

model Q wins, 0.248 eV/atom ahead of the next structure.

Model P:
! YNb3Pb, relaxed, DFT PBE-GGA; values from VASP
&SYSTEM
  ibrav = 0, nat = 5, ntyp = 3
/
ATOMIC_SPECIES
Pb 207.20 Pb.upf
Y 88.91 Y.upf
Nb 92.91 Nb.upf
CELL_PARAMETERS angstrom
-4.191 -0.691 -2.992
0.859 -5.124 -0.020
-2.949 -0.511 4.247
ATOMIC_POSITIONS crystal
Pb 0.000 0.000 0.000
Y 0.500 0.500 0.500
Nb 0.000 0.500 0.000
Nb 0.000 0.000 0.500
Nb 0.500 0.000 0.000
! **SG**: Pm-3m
! **Size of the total moment**: 0.000 μB/cell

Model Q:
! YNb3Pb, relaxed, DFT PBE-GGA; values from VASP
&SYSTEM
  ibrav = 0, nat = 5, ntyp = 3
/
ATOMIC_SPECIES
Pb 207.20 Pb.upf
Y 88.91 Y.upf
Nb 92.91 Nb.upf
CELL_PARAMETERS angstrom
5.002 0.000 0.000
0.000 5.002 0.000
0.000 0.000 5.002
ATOMIC_POSITIONS crystal
Pb 0.500 0.500 0.500
Y 0.000 0.000 0.000
Nb 0.000 0.500 0.000
Nb 0.000 0.000 0.500
Nb 0.500 0.000 0.000
! **SG**: Pm-3m
! **Size of the total moment**: 0.000 μB/cell

model P wins, 0.306 eV/atom ahead of the next structure.

Model P:
! NbZnPb3, relaxed, DFT PBE-GGA; values from VASP
&SYSTEM
  ibrav = 0, nat = 5, ntyp = 3
/
ATOMIC_SPECIES
Pb 207.20 Pb.upf
Nb 92.91 Nb.upf
Zn 65.41 Zn.upf
CELL_PARAMETERS angstrom
5.528 0.000 0.000
0.000 5.528 0.000
0.000 0.000 5.528
ATOMIC_POSITIONS crystal
Pb 0.000 0.500 0.000
Pb 0.000 0.000 0.500
Pb 0.500 0.000 0.000
Nb 0.000 0.000 0.000
Zn 0.500 0.500 0.500
! **SG**: Pm-3m
! **Size of the total moment**: 0.000 μB/cell

Model Q:
! NbZnPb3, relaxed, DFT PBE-GGA; values from VASP
&SYSTEM
  ibrav = 0, nat = 5, ntyp = 3
/
ATOMIC_SPECIES
Pb 207.20 Pb.upf
Nb 92.91 Nb.upf
Zn 65.41 Zn.upf
CELL_PARAMETERS angstrom
-2.331 1.915 4.366
-2.561 -4.602 0.652
4.021 -1.821 2.945
ATOMIC_POSITIONS crystal
Pb 0.000 0.500 0.000
Pb 0.000 0.000 0.500
Pb 0.500 0.000 0.000
Nb 0.500 0.500 0.500
Zn 0.000 0.000 0.000
! **SG**: Pm-3m
! **Size of the total moment**: 3.448 μB/cell

model P wins, 0.496 eV/atom ahead of the next structure.

Model P:
! Nb2Pd5, relaxed, DFT PBE-GGA; values from VASP
&SYSTEM
  ibrav = 0, nat = 14, ntyp = 2
/
ATOMIC_SPECIES
Nb 92.91 Nb.upf
Pd 106.42 Pd.upf
CELL_PARAMETERS angstrom
2.825 0.000 0.000
0.000 9.185 0.000
0.000 0.000 9.185
ATOMIC_POSITIONS crystal
Nb 0.500 0.684 0.184
Nb 0.500 0.184 0.316
Nb 0.500 0.816 0.684
Nb 0.500 0.316 0.816
Pd 0.000 0.500 0.000
Pd 0.000 0.206 0.058
Pd 0.000 0.942 0.206
Pd 0.000 0.442 0.294
Pd 0.000 0.706 0.442
Pd 0.000 0.000 0.500
Pd 0.000 0.294 0.558
Pd 0.000 0.558 0.706
Pd 0.000 0.058 0.794
Pd 0.000 0.794 0.942
! **SG**: P4/mbm
! **Size of the total moment**: 0.000 μB/cell

Model Q:
! Nb2Pd5, relaxed, DFT PBE-GGA; values from VASP
&SYSTEM
  ibrav = 0, nat = 14, ntyp = 2
/
ATOMIC_SPECIES
Nb 92.91 Nb.upf
Pd 106.42 Pd.upf
CELL_PARAMETERS angstrom
-3.254 -0.107 3.612
1.045 -7.177 0.729
6.189 1.630 2.351
ATOMIC_POSITIONS crystal
Nb 0.238 0.395 0.832
Nb 0.406 0.105 0.168
Nb 0.762 0.605 0.168
Nb 0.594 0.895 0.832
Pd 0.312 0.459 0.269
Pd 0.043 0.041 0.731
Pd 0.112 0.679 0.577
Pd 0.535 0.821 0.423
Pd 0.888 0.321 0.423
Pd 0.465 0.179 0.577
Pd 0.957 0.959 0.269
Pd 0.688 0.541 0.731
Pd 0.816 0.250 0.000
Pd 0.184 0.750 0.000
! **SG**: C2/c
! **Size of the total moment**: 0.000 μB/cell

model Q wins, 0.223 eV/atom ahead of the next structure.